{"formula": "ZrBe2Zn", "functional": "PBE", "state": "relaxed", "cell": [[2.8404, 0.0000, 0.0000], [0.0000, 4.2698, 0.0000], [0.0000, 0.0000, 9.1655]], "species": ["Zr", "Zr", "Be", "Be", "Be", "Be", "Zn", "Zn"], "fractional_positions": [[0.0000, 0.0000, 0.0000], [0.5000, 0.5000, 0.5000], [0.0000, 0.0000, 0.4632], [0.0000, 0.5000, 0.7740], [0.5000, 0.0000, 0.2740], [0.5000, 0.5000, 0.9632], [0.0000, 0.5000, 0.2162], [0.5000, 0.0000, 0.7162]], "ef_ev_per_atom": 0.160}



{"formula": "Zr3BeZn3", "functional": "PBE", "state": "relaxed", "cell": [[3.2925, 0.0000, 0.0000], [0.0000, 4.1401, 0.0000], [0.0000, 0.0000, 18.0644]], "species": ["Zr", "Zr", "Zr", "Zr", "Zr", "Zr", "Be", "Be", "Zn", "Zn", "Zn", "Zn", "Zn", "Zn"], "fractional_positions": [[0.0000, 0.0000, 0.0000], [0.0000, 0.0000, 0.3959], [0.0000, 0.5000, 0.2070], [0.5000, 0.0000, 0.7070], [0.5000, 0.5000, 0.5000], [0.5000, 0.5000, 0.8959], [0.0000, 0.5000, 0.7677], [0.5000, 0.0000, 0.2677], [0.0000, 0.0000, 0.5620], [0.0000, 0.0000, 0.8366], [0.0000, 0.5000, 0.6398], [0.5000, 0.0000, 0.1398], [0.5000, 0.5000, 0.0620], [0.5000, 0.5000, 0.3366]], "ef_ev_per_atom": -0.196}



{"formula": "Zr2Be2Zn", "functional": "PBE", "state": "relaxed", "cell": [[3.7863, 0.0000, 0.0000], [0.0000, 12.3986, 0.0000], [0.0000, 0.0000, 3.3183]], "species": ["Zr", "Zr", "Zr", "Zr", "Be", "Be", "Be", "Be", "Zn", "Zn"], "fractional_positions": [[0.0000, 0.1304, 0.0000], [0.0000, 0.8696, 0.0000], [0.5000, 0.3696, 0.0000], [0.5000, 0.6304, 0.0000], [0.0000, 0.2968, 0.5000], [0.0000, 0.7032, 0.5000], [0.5000, 0.2032, 0.5000], [0.5000, 0.7968, 0.5000], [0.0000, 0.5000, 0.5000], [0.5000, 0.0000, 0.5000]], "ef_ev_per_atom": -0.231}



{"formula": "Zr2Be2Zn", "functional": "PBE", "state": "relaxed", "cell": [[6.2608, 0.0000, 0.0000], [0.0000, 6.2608, 0.0000], [0.0000, 0.0000, 3.9660]], "species": ["Zr", "Zr", "Zr", "Zr", "Be", "Be", "Be", "Be", "Zn", "Zn"], "fractional_positions": [[0.1728, 0.3272, 0.0000], [0.3272, 0.8272, 0.0000], [0.6728, 0.1728, 0.0000], [0.8272, 0.6728, 0.0000], [0.1247, 0.6247, 0.5000], [0.3753, 0.1247, 0.5000], [0.6247, 0.8753, 0.5000], [0.8753, 0.3753, 0.5000], [0.0000, 0.0000, 0.5000], [0.5000, 0.5000, 0.5000]], "ef_ev_per_atom": -0.230}



{"formula": "ZrBe17Zn", "functional": "PBE", "state": "relaxed", "cell": [[3.7245, 2.1504, 3.6648], [-3.7245, 2.1504, 3.6648], [0.0000, -4.3007, 3.6648]], "species": ["Zr", "Be", "Be", "Be", "Be", "Be", "Be", "Be", "Be", "Be", "Be", "Be", "Be", "Be", "Be", "Be", "Be", "Be", "Zn"], "fractional_positions": [[0.0000, 0.0000, 0.0000], [0.0013, 0.0013, 0.5021], [0.0013, 0.5021, 0.0013], [0.1574, 0.6732, 0.6732], [0.3196, 0.3196, 0.8160], [0.3196, 0.8160, 0.3196], [0.3688, 0.6560, 0.9603], [0.3688, 0.9603, 0.6560], [0.5021, 0.0013, 0.0013], [0.5620, 0.5620, 0.5620], [0.6560, 0.3688, 0.9603], [0.6560, 0.9603, 0.3688], [0.6732, 0.1574, 0.6732], [0.6732, 0.6732, 0.1574], [0.7598, 0.7598, 0.7598], [0.8160, 0.3196, 0.3196], [0.9603, 0.3688, 0.6560], [0.9603, 0.6560, 0.3688], [0.2789, 0.2789, 0.2789]], "ef_ev_per_atom": -0.073}



{"formula": "ZrBe2Zn", "functional": "PBE", "state": "relaxed", "cell": [[4.0200, 0.0000, 0.0000], [0.0000, 4.0200, 0.0000], [0.0000, 0.0000, 3.4919]], "species": ["Zr", "Be", "Be", "Zn"], "fractional_positions": [[0.0000, 0.0000, 0.0000], [0.0000, 0.5000, 0.5000], [0.5000, 0.0000, 0.5000], [0.5000, 0.5000, 0.0000]], "ef_ev_per_atom": -0.008}



{"formula": "Zr6BeZn5", "functional": "PBE", "state": "relaxed", "cell": [[-2.3483, 3.3113, 7.0372], [2.3483, -3.3113, 7.0372], [2.3483, 3.3113, -7.0372]], "species": ["Zr", "Zr", "Zr", "Zr", "Zr", "Zr", "Be", "Zn", "Zn", "Zn", "Zn", "Zn"], "fractional_positions": [[0.0826, 0.3370, 0.7456], [0.2422, 0.0000, 0.2422], [0.4086, 0.6630, 0.7456], [0.5914, 0.3370, 0.2544], [0.7578, 0.0000, 0.7578], [0.9174, 0.6630, 0.2544], [0.0000, 0.5000, 0.5000], [0.1719, 0.1719, 0.0000], [0.3332, 0.8332, 0.5000], [0.5000, 0.5000, 0.0000], [0.6668, 0.1668, 0.5000], [0.8281, 0.8281, 0.0000]], "ef_ev_per_atom": -0.238}



{"formula": "ZrBe2Zn2", "functional": "PBE", "state": "relaxed", "cell": [[7.2683, 0.0000, 0.0000], [0.0000, 7.2683, 0.0000], [0.0000, 0.0000, 2.5757]], "species": ["Zr", "Zr", "Be", "Be", "Be", "Be", "Zn", "Zn", "Zn", "Zn"], "fractional_positions": [[0.0000, 0.0000, 0.0000], [0.5000, 0.5000, 0.0000], [0.1727, 0.3273, 0.5000], [0.3273, 0.8273, 0.5000], [0.6727, 0.1727, 0.5000], [0.8273, 0.6727, 0.5000], [0.1257, 0.6257, 0.0000], [0.3743, 0.1257, 0.0000], [0.6257, 0.8743, 0.0000], [0.8743, 0.3743, 0.0000]], "ef_ev_per_atom": 0.034, "e_above_lowest_polymorph_mev_per_atom": 141.5}